Entry from OQMD via LeMat-Bulk: Re5W after structural relaxation (GGA-PBE).

```
Re5W
1.0
5.099 0.000 0.000
-2.549 4.416 0.000
0.000 0.000 16.641
Re W
20 4
Cartesian
0.000 0.000 1.478
0.000 0.000 6.843
0.000 0.000 9.799
0.000 0.000 15.163
-1.275 2.208 0.000
-1.275 2.208 8.321
0.000 1.409 4.160
-1.329 3.711 4.160
1.220 0.704 12.481
0.000 2.944 2.125
0.000 2.944 6.196
2.549 0.000 0.000
2.549 0.000 8.321
1.275 2.208 0.000
1.275 2.208 8.321
2.549 1.472 10.445
2.549 1.472 14.517
1.329 3.711 4.160
3.879 0.704 12.481
2.549 3.007 12.481
0.000 2.944 10.893
0.000 2.944 14.068
2.549 1.472 2.573
2.549 1.472 5.748
```

Summary:
The calculation puts the excess energy over the best structure of this formula in the dataset at 3 meV per atom. The energy of formation from the pure elements comes out at 0.232 eV per atom. The total magnetic moment comes out at 0.00 μB/atom. As for the crystal system: hexagonal.

***

Entry from OQMD via LeMat-Bulk: Pr2YCu4Pb4 after structural relaxation (GGA-PBE).

```
Pr2YCu4Pb4
1.0
-2.344 3.522 7.651
2.344 -3.522 7.651
2.344 3.522 -7.651
Pr Y Cu Pb
2 1 4 4
Cartesian
0.000 0.000 2.030
0.000 0.000 13.271
0.000 3.522 0.000
2.344 2.216 -2.602
2.344 2.216 2.602
0.000 1.306 5.049
0.000 1.306 10.252
2.344 1.494 0.000
2.344 0.000 4.377
0.000 3.522 3.274
0.000 2.028 7.651
```

Summary:
For the total energy, the calculation gives -49.2 eV/f.u. The total magnetic moment comes out at 0.00 μB/atom. As for the crystal system: orthorhombic.